The following is a DFT calculation (PBE+U) of a geometry-optimized Y2V2O7 structure.

Properties
Volume = 130.22 Å³/f.u.
Total moment = 1.97 μB per formula unit
Electronic total energy = -7.7944 eV per atom

Geometry as POSCAR:
```
Y2V2O7
1.0
0.0000 5.0687 5.0687
5.0687 0.0000 5.0687
5.0687 5.0687 0.0000
O Y V
14 4 4
Cartesian
5.0687 5.0687 7.4997
5.0687 7.4997 5.0687
5.1720 7.6030 7.6030
5.0687 5.0687 2.6377
7.4997 5.0687 5.0687
2.6377 5.0687 5.0687
7.6030 5.1720 7.6030
7.6030 7.6030 5.1720
5.0687 2.6377 5.0687
5.0687 5.0687 5.0687
7.6030 10.0340 7.6030
10.0340 7.6030 7.6030
7.6030 7.6030 10.0340
7.6030 7.6030 7.6030
1.2672 3.8015 3.8015
3.8015 3.8015 1.2672
3.8015 1.2672 3.8015
1.2672 1.2672 1.2672
3.8015 6.3358 3.8015
6.3358 3.8015 3.8015
6.3358 6.3358 6.3358
3.8015 3.8015 6.3358
```